[1]
First-principles (PBE-GGA) data for ZnOsSe2 after structural relaxation, as listed in the Alexandria database.

Geometry as POSCAR:
```
ZnOsSe2
1.0
4.5972 0.0000 0.0000
0.0000 4.5972 0.0000
0.0000 0.0000 3.1176
Zn Os Se
1 1 2
direct
0.0000 0.0000 0.0000
0.5000 0.5000 0.0000
0.0000 0.5000 0.5000
0.5000 0.0000 0.5000
```

Computed properties:
Space-group type: P4/mmm, No. 123
Raw formation energy in eV/atom: 0.56

---

[2]
First-principles (PBE-GGA) data for AcTlPd3Pb after structural relaxation, as listed in the Alexandria database.

Geometry as POSCAR:
```
AcTlPd3Pb
1.0
3.0940 -6.4982 0.0000
3.0940 6.4982 0.0000
0.0000 0.0000 7.4010
Ac Tl Pd Pb
2 2 6 2
direct
0.1589 0.8411 0.7500
0.8411 0.1589 0.2500
0.4160 0.5840 0.7500
0.5840 0.4160 0.2500
0.2260 0.2260 0.0000
0.2260 0.2260 0.5000
0.3603 0.6397 0.2500
0.6397 0.3603 0.7500
0.7740 0.7740 0.0000
0.7740 0.7740 0.5000
0.1456 0.8544 0.2500
0.8544 0.1456 0.7500
```

Computed properties:
Space-group type: Cmcm, No. 63
Energy of formation from the pure elements in meV/atom: -346

---

[3]
First-principles (PBE-GGA) data for RbPu4Pd3Se12 after structural relaxation, as listed in the Alexandria database.

Geometry as POSCAR:
```
RbPu4Pd3Se12
1.0
-5.1430 5.1430 5.1430
5.1430 -5.1430 5.1430
5.1430 5.1430 -5.1430
Rb Pu Pd Se
1 4 3 12
direct
0.0000 0.0000 0.0000
0.0000 0.0000 0.5000
0.0000 0.5000 0.0000
0.5000 0.0000 0.0000
0.5000 0.5000 0.5000
0.0000 0.5000 0.5000
0.5000 0.0000 0.5000
0.5000 0.5000 0.0000
0.1576 0.8363 0.3213
0.1637 0.3213 0.4850
0.1637 0.6787 0.8424
0.3213 0.1576 0.8363
0.3213 0.4850 0.1637
0.4850 0.1637 0.3213
0.5150 0.8363 0.6787
0.6787 0.5150 0.8363
0.6787 0.8424 0.1637
0.8363 0.3213 0.1576
0.8363 0.6787 0.5150
0.8424 0.1637 0.6787
```

Computed properties:
Space-group type: Im-3, No. 204
Raw formation energy in eV/atom: -0.79

---

[4]
First-principles (PBE-GGA) data for Sm2Zn15Hg2 after structural relaxation, as listed in the Alexandria database.

Geometry as POSCAR:
```
Sm2Zn15Hg2
1.0
4.5918 2.6511 4.4613
-4.5918 2.6511 4.4613
0.0000 -5.3022 4.4613
Sm Zn Hg
2 15 2
direct
0.1589 0.1589 0.1589
0.8411 0.8411 0.8411
0.0000 0.5000 0.5000
0.1462 0.1462 0.6695
0.1462 0.6695 0.1462
0.1974 0.5000 0.8027
0.1974 0.8027 0.5000
0.3305 0.8538 0.8538
0.5000 0.0000 0.5000
0.5000 0.1973 0.8027
0.5000 0.5000 0.0000
0.5000 0.8027 0.1973
0.6695 0.1462 0.1462
0.8027 0.1973 0.5000
0.8027 0.5000 0.1973
0.8538 0.3305 0.8538
0.8538 0.8538 0.3305
0.3923 0.3923 0.3923
0.6077 0.6077 0.6077
```

Computed properties:
Space-group type: R-3m, No. 166
Energy of formation from the pure elements in meV/atom: -215

---

It is found that the total moment values, taken in the order of the records, are 0.000, 0.000, 0.748, 0.000 μB per atom.